A plane-wave DFT calculation with PBE with a Hubbard U was carried out for a geometry-optimized YPuNiO6 structure.

Properties
The size of the total moment is 6.00 μB/cell. Its total energy is -149.103 eV per cell.

```
data_YPuNiO6
_cell_length_a 5.2764
_cell_length_b 5.2764
_cell_length_c 9.9896
_cell_angle_alpha 90.00
_cell_angle_beta 90.00
_cell_angle_gamma 120.00
_space_group_name_H-M_alt 'P -3 1 c'
_space_group_IT_number 163
_space_group_name_Hall '-P 3 2c'
loop_
_atom_site_label
_atom_site_type_symbol
_atom_site_fract_x
_atom_site_fract_y
_atom_site_fract_z
Y1 Y 0.0000 0.0000 0.0000
Pu1 Pu 0.3333 0.6667 0.2500
Ni1 Ni 0.3333 0.6667 0.7500
O1 O 0.0101 0.3552 0.1374
```